Entry 1:
Here is a geometry-optimized Ac2Pr8Sm3 structure from Alexandria. Energies are from GGA-PBE.

Cell lengths 6.773, 6.773, 13.257 Å; angles 75.20, 75.20, 60.00 degrees
Fractional positions:
Ac 0.640 0.640 0.080
Ac 0.360 0.360 0.920
Pr 0.727 0.727 0.820
Pr 0.273 0.273 0.180
Pr 0.222 0.720 0.338
Pr 0.720 0.222 0.338
Pr 0.720 0.720 0.338
Pr 0.280 0.778 0.662
Pr 0.778 0.280 0.662
Pr 0.280 0.280 0.662
Sm 0.000 0.000 0.000
Sm 0.812 0.812 0.563
Sm 0.188 0.188 0.437

Calculated values
- D(E_F) (states/eV/cell) = 21.95
- raw total energy (eV per atom) = -4.40


Entry 2:
Here is a geometry-optimized LiHg2SbS4 structure from Alexandria. Energies are from GGA-PBE.

Cell lengths 6.432, 8.010, 8.293 Å; angles 90.00, 90.00, 90.00 degrees
Fractional positions:
Li 0.989 0.172 0.500
Li 0.489 0.828 0.000
Hg 0.497 0.335 0.259
Hg 0.497 0.335 0.741
Hg 0.997 0.665 0.759
Hg 0.997 0.665 0.241
Sb 0.474 0.824 0.500
Sb 0.974 0.176 0.000
S 0.367 0.163 0.000
S 0.867 0.837 0.500
S 0.368 0.177 0.500
S 0.868 0.823 0.000
S 0.404 0.652 0.757
S 0.904 0.348 0.257
S 0.904 0.348 0.743
S 0.404 0.652 0.243

Calculated values
- raw formation energy (eV per atom) = -0.3237


Entry 3:
Here is a geometry-optimized CeY2TmCo2 structure from Alexandria. Energies are from GGA-PBE.

Cell lengths 6.588, 6.740, 7.953 Å; angles 115.07, 114.47, 90.00 degrees
Fractional positions:
Ce 0.750 0.500 0.000
Ce 0.250 0.500 0.000
Y 0.700 0.898 0.401
Y 0.200 0.503 0.401
Y 0.800 0.497 0.599
Y 0.300 0.102 0.599
Tm 0.250 0.000 0.000
Tm 0.750 0.000 0.000
Co 0.403 0.616 0.806
Co 0.597 0.384 0.194
Co 0.097 0.809 0.194
Co 0.903 0.191 0.806

Calculated values
- D(E_F) (states/eV/cell) = 14.07
- raw total energy (eV per atom) = -6.37


Entry 4:
Here is a geometry-optimized La4Tb4Er structure from Alexandria. Energies are from GGA-PBE.

Cell lengths 5.159, 8.118, 8.118 Å; angles 84.20, 71.47, 71.47 degrees
Fractional positions:
La 0.667 0.666 0.000
La 0.333 0.334 0.000
La 0.667 0.000 0.666
La 0.333 0.000 0.334
Tb 0.665 0.335 0.335
Tb 0.335 0.665 0.665
Tb 0.000 0.665 0.335
Tb 0.000 0.335 0.665
Er 0.000 0.000 0.000

Calculated values
- D(E_F) (states/eV/cell) = 13.27
- raw total energy (eV per atom) = -4.73


Values for magnetic moment, μB per formula unit, ordered as above
0.00 0.00 0.00 0.00